First-principles (PBE-GGA) data for an optimized crystal structure of Hf2ZrH, as listed in the Alexandria database. Values from VASP.

Results
Mass density: 10440 kg/m³
Electronic total energy: -32.285 eV per cell

```
&SYSTEM
  ibrav = 0, nat = 4, ntyp = 3
/
ATOMIC_SPECIES
Hf 178.49 Hf.upf
Zr 91.22 Zr.upf
H 1.01 H.upf
CELL_PARAMETERS angstrom
-1.593 4.778 2.348
1.593 -4.778 2.348
1.593 4.778 -2.348
ATOMIC_POSITIONS crystal
Hf 0.172 0.000 0.172
Hf 0.828 0.000 0.828
Zr 0.521 0.021 0.500
H 0.246 0.246 0.000
```

***

First-principles (PBE-GGA) data for an optimized crystal structure of Cr2Co2Os, as listed in the Alexandria database. Values from VASP.

Results
Mass density: 11057 kg/m³
Electronic total energy: -41.973 eV per cell
Energy of formation from the pure elements: 52.4 kJ/mol of atoms

```
&SYSTEM
  ibrav = 0, nat = 5, ntyp = 3
/
ATOMIC_SPECIES
Cr 52.00 Cr.upf
Co 58.93 Co.upf
Os 190.23 Os.upf
CELL_PARAMETERS angstrom
-1.716 1.716 5.255
1.716 -1.716 5.255
1.716 1.716 -5.255
ATOMIC_POSITIONS crystal
Cr 0.100 0.100 0.000
Cr 0.900 0.900 0.000
Co 0.250 0.750 0.500
Co 0.750 0.250 0.500
Os 0.500 0.500 0.000
```

***

First-principles (PBE-GGA) data for an optimized crystal structure of Nb2SnPd9, as listed in the Alexandria database. Values from VASP.

Results
Mass density: 10907 kg/m³
Electronic total energy: -75.697 eV per cell
Energy of formation from the pure elements: -38.7 kJ/mol of atoms

```
&SYSTEM
  ibrav = 0, nat = 12, ntyp = 3
/
ATOMIC_SPECIES
Nb 92.91 Nb.upf
Sn 118.71 Sn.upf
Pd 106.42 Pd.upf
CELL_PARAMETERS angstrom
3.990 0.000 0.000
0.000 3.990 0.000
0.000 0.000 12.074
ATOMIC_POSITIONS crystal
Nb 0.000 0.000 0.168
Nb 0.000 0.000 0.832
Sn 0.000 0.000 0.500
Pd 0.000 0.500 0.000
Pd 0.000 0.500 0.324
Pd 0.000 0.500 0.676
Pd 0.500 0.000 0.000
Pd 0.500 0.000 0.324
Pd 0.500 0.000 0.676
Pd 0.500 0.500 0.162
Pd 0.500 0.500 0.500
Pd 0.500 0.500 0.838
```

***

First-principles (PBE-GGA) data for an optimized crystal structure of CuGe4Rh7, as listed in the Alexandria database. Values from VASP.

Results
Mass density: 9538 kg/m³
Electronic total energy: -76.471 eV per cell
Energy of formation from the pure elements: -19.7 kJ/mol of atoms

```
&SYSTEM
  ibrav = 0, nat = 12, ntyp = 3
/
ATOMIC_SPECIES
Cu 63.55 Cu.upf
Ge 72.64 Ge.upf
Rh 102.91 Rh.upf
CELL_PARAMETERS angstrom
6.029 -2.224 0.000
6.029 2.224 0.000
-5.405 0.000 6.975
ATOMIC_POSITIONS crystal
Cu 0.000 0.000 0.000
Ge 0.283 0.283 0.663
Ge 0.419 0.419 0.212
Ge 0.581 0.581 0.788
Ge 0.717 0.717 0.337
Rh 0.078 0.078 0.325
Rh 0.210 0.210 0.863
Rh 0.357 0.357 0.431
Rh 0.500 0.500 0.000
Rh 0.643 0.643 0.569
Rh 0.790 0.790 0.137
Rh 0.922 0.922 0.675
```

***

First-principles (PBE-GGA) data for an optimized crystal structure of BaCa4In5, as listed in the Alexandria database. Values from VASP.

Results
Mass density: 4733 kg/m³
Electronic total energy: -28.130 eV per cell
Energy of formation from the pure elements: -43.5 kJ/mol of atoms

```
&SYSTEM
  ibrav = 0, nat = 10, ntyp = 3
/
ATOMIC_SPECIES
Ba 137.33 Ba.upf
Ca 40.08 Ca.upf
In 114.82 In.upf
CELL_PARAMETERS angstrom
3.976 0.000 0.000
0.000 3.976 0.000
0.000 0.000 19.342
ATOMIC_POSITIONS crystal
Ba 0.000 0.000 0.000
Ca 0.000 0.000 0.214
Ca 0.000 0.000 0.405
Ca 0.000 0.000 0.595
Ca 0.000 0.000 0.786
In 0.500 0.500 0.122
In 0.500 0.500 0.308
In 0.500 0.500 0.500
In 0.500 0.500 0.692
In 0.500 0.500 0.878
```

***

First-principles (PBE-GGA) data for an optimized crystal structure of SrFePt, as listed in the Alexandria database. Values from VASP.

Results
Mass density: 8376 kg/m³
Electronic total energy: -16.368 eV per cell
Energy of formation from the pure elements: -5.9 kJ/mol of atoms

```
&SYSTEM
  ibrav = 0, nat = 3, ntyp = 3
/
ATOMIC_SPECIES
Sr 87.62 Sr.upf
Fe 55.84 Fe.upf
Pt 195.08 Pt.upf
CELL_PARAMETERS angstrom
-1.755 1.755 5.445
1.755 -1.755 5.445
1.755 1.755 -5.445
ATOMIC_POSITIONS crystal
Sr 0.000 0.000 0.000
Fe 0.726 0.726 0.000
Pt 0.286 0.286 0.000
```